No. 1
Here is Sr2GaAgSn6 after structural relaxation from Alexandria. Energies are from GGA-PBE.

## Properties
Its density of states at the Fermi level is 4.3 states/eV/f.u. As for the total energy: -3.506 eV/atom. For the formation energy, the calculation gives -0.180 eV/atom.

Cell and atoms, written as extended XYZ:
```
20
Lattice="6.593 0.000 0.000 0.000 9.236 0.000 0.000 0.000 10.213" Properties=species:S:1:pos:R:3 pbc="T T T"
Sr 1.648 0.086 2.334
Sr 1.648 4.532 2.334
Sr 4.945 4.704 7.879
Sr 4.945 9.150 7.879
Ga 1.648 2.309 8.447
Ga 4.945 6.927 1.767
Ag 1.648 6.927 7.600
Ag 4.945 2.309 2.613
Sn 0.099 6.927 5.054
Sn 0.232 6.927 10.063
Sn 1.648 0.323 6.582
Sn 1.648 4.296 6.582
Sn 3.065 6.927 10.063
Sn 3.197 6.927 5.054
Sn 3.396 2.309 5.159
Sn 3.528 2.309 0.150
Sn 4.945 4.941 3.632
Sn 4.945 8.914 3.632
Sn 6.361 2.309 0.150
Sn 6.494 2.309 5.159
```

---

No. 2
Here is Sr2GaAg3Sn4 after structural relaxation from Alexandria. Energies are from GGA-PBE.

## Properties
Its density of states at the Fermi level is 4.1 states/eV/f.u. As for the total energy: -3.455 eV/atom. For the formation energy, the calculation gives -0.360 eV/atom.

Cell and atoms, written as extended XYZ:
```
10
Lattice="4.663 0.000 0.000 0.000 4.663 0.000 0.000 0.000 12.019" Properties=species:S:1:pos:R:3 pbc="T T T"
Sr 0.000 2.332 2.939
Sr 2.332 0.000 9.080
Ga 2.332 2.332 0.000
Ag 0.000 0.000 0.000
Ag 0.000 2.332 7.703
Ag 2.332 0.000 4.317
Sn 0.000 0.000 6.010
Sn 0.000 2.332 10.422
Sn 2.332 0.000 1.597
Sn 2.332 2.332 6.010
```

---

No. 3
Here is SrGa2AgSn after structural relaxation from Alexandria. Energies are from GGA-PBE.

## Properties
Its density of states at the Fermi level is 1.3 states/eV/f.u. As for the total energy: -3.285 eV/atom. For the formation energy, the calculation gives -0.367 eV/atom.

Cell and atoms, written as extended XYZ:
```
10
Lattice="4.553 0.000 0.000 0.000 4.611 0.000 0.000 0.000 11.469" Properties=species:S:1:pos:R:3 pbc="T T T"
Sr 0.000 0.000 0.000
Sr 2.276 2.305 5.735
Ga 0.000 0.000 4.404
Ga 0.000 2.305 3.067
Ga 2.276 0.000 8.802
Ga 2.276 2.305 10.138
Ag 0.000 2.305 8.752
Ag 2.276 0.000 3.017
Sn 0.000 0.000 7.111
Sn 2.276 2.305 1.377
```

---

No. 4
Here is Ga2TcAgSn after structural relaxation from Alexandria. Energies are from GGA-PBE.

## Properties
Its density of states at the Fermi level is 4.5 states/eV/f.u. As for the total energy: -4.361 eV/atom. For the formation energy, the calculation gives 0.294 eV/atom.

Cell and atoms, written as extended XYZ:
```
5
Lattice="4.843 0.000 0.000 0.000 4.843 0.000 0.000 0.000 5.134" Properties=species:S:1:pos:R:3 pbc="T T T"
Ga 0.000 2.421 0.000
Ga 2.421 0.000 0.000
Tc 0.000 0.000 0.000
Ag 2.421 2.421 2.567
Sn 0.000 0.000 2.567
```

---

No. 5
Here is GaAg2SnTe4 after structural relaxation from Alexandria. Energies are from GGA-PBE.

## Properties
Its density of states at the Fermi level is 3.2 states/eV/f.u. As for the total energy: -3.346 eV/atom. Its uncorrected formation energy is -0.184 eV/atom.

Cell and atoms, written as extended XYZ:
```
8
Lattice="0.000 4.685 6.411 4.547 0.000 6.411 4.547 4.685 0.000" Properties=species:S:1:pos:R:3 pbc="T T T"
Ga 0.000 0.000 0.000
Ag 2.273 2.343 3.169
Ag 6.820 7.028 9.580
Sn 4.547 4.685 6.327
Te 4.547 2.127 4.792
Te 6.964 4.685 8.053
Te 4.547 7.243 4.792
Te 2.129 4.685 8.053
```

---

No. 6
Here is ZnGaAgSn after structural relaxation from Alexandria. Energies are from GGA-PBE.

## Properties
Its density of states at the Fermi level is 2.1 states/eV/f.u. As for the total energy: -2.663 eV/atom. For the formation energy, the calculation gives 0.126 eV/atom.

Cell and atoms, written as extended XYZ:
```
16
Lattice="6.895 0.000 0.000 0.000 6.895 0.000 0.000 0.000 6.895" Properties=species:S:1:pos:R:3 pbc="T T T"
Zn 0.000 0.000 0.000
Zn 0.000 3.448 3.448
Zn 3.448 0.000 3.448
Zn 3.448 3.448 0.000
Ga 1.724 1.724 1.724
Ga 1.724 5.172 5.172
Ga 5.172 1.724 5.172
Ga 5.172 5.172 1.724
Ag 0.000 0.000 3.448
Ag 0.000 3.448 0.000
Ag 3.448 0.000 0.000
Ag 3.448 3.448 3.448
Sn 1.724 1.724 5.172
Sn 1.724 5.172 1.724
Sn 5.172 1.724 1.724
Sn 5.172 5.172 5.172
```

---

No. 7
Here is SrGa2Ag5 after structural relaxation from Alexandria. Energies are from GGA-PBE.

## Properties
Its density of states at the Fermi level is 4.1 states/eV/f.u. As for the total energy: -2.904 eV/atom. For the formation energy, the calculation gives -0.155 eV/atom.

Cell and atoms, written as extended XYZ:
```
16
Lattice="4.130 0.000 0.000 0.000 7.767 0.000 0.000 0.000 10.453" Properties=species:S:1:pos:R:3 pbc="T T T"
Sr 0.000 0.000 0.000
Sr 2.065 3.883 5.226
Ga 0.000 3.883 2.671
Ga 0.000 3.883 7.781
Ga 2.065 0.000 2.555
Ga 2.065 0.000 7.897
Ag 0.000 1.471 3.713
Ag 0.000 1.471 6.739
Ag 0.000 3.883 0.000
Ag 0.000 6.296 3.713
Ag 0.000 6.296 6.739
Ag 2.065 0.000 5.226
Ag 2.065 2.412 1.513
Ag 2.065 2.412 8.940
Ag 2.065 5.354 1.513
Ag 2.065 5.354 8.940
```

---

No. 8
Here is Sr2Ga2Ag5 after structural relaxation from Alexandria. Energies are from GGA-PBE.

## Properties
Its density of states at the Fermi level is 3.0 states/eV/f.u. As for the total energy: -2.837 eV/atom. For the formation energy, the calculation gives -0.206 eV/atom.

Cell and atoms, written as extended XYZ:
```
9
Lattice="4.592 0.000 0.000 0.000 4.592 0.000 0.000 0.000 9.845" Properties=species:S:1:pos:R:3 pbc="T T T"
Sr 0.000 0.000 0.000
Sr 0.000 0.000 4.923
Ga 2.296 2.296 1.345
Ga 2.296 2.296 8.500
Ag 0.000 2.296 2.664
Ag 0.000 2.296 7.182
Ag 2.296 0.000 2.664
Ag 2.296 0.000 7.182
Ag 2.296 2.296 4.923
```

---

Number 5 is which compound?
GaAg2SnTe4